Entry 1:
Material: Sr2TbSe3
Method: DFT, PBE
State: relaxed

Calculated values
Final energy = -5.019 eV/atom

Geometry as CIF:
```
data_Sr2TbSe3
_space_group_name_H-M_alt 'P -3 m 1'
_space_group_IT_number 164
_space_group_name_Hall '-P 3 2"'
_cell_length_a 4.2774
_cell_length_b 4.2774
_cell_length_c 10.6778
_cell_angle_alpha 90.00
_cell_angle_beta 90.00
_cell_angle_gamma 120.00
loop_
_atom_site_label
_atom_site_fract_x
_atom_site_fract_y
_atom_site_fract_z
Sr1 0.3333 0.6667 0.1725
Tb1 0.0000 0.0000 0.5000
Se1 0.0000 0.0000 0.0000
Se2 0.3333 0.6667 0.6515
```

Entry 2:
Material: GePOsO
Method: DFT, PBE
State: relaxed

Calculated values
Energy above the most stable polymorph in this dataset = 0.0 kJ per mole of atoms

Geometry as CIF:
```
data_GePOsO
_space_group_name_H-M_alt 'P 4/n m m'
_space_group_IT_number 129
_cell_length_a 3.766
_cell_length_b 3.766
_cell_length_c 9.335
_cell_angle_alpha 90.00
_cell_angle_beta 90.00
_cell_angle_gamma 90.00
loop_
_space_group_symop_operation_xyz
'x,y,z'
'-x,-y,-z'
'-y+1/2,x,z'
'y+1/2,-x,-z'
'-x+1/2,-y+1/2,z'
'x+1/2,y+1/2,-z'
'y,-x+1/2,z'
'-y,x+1/2,-z'
'x+1/2,-y,-z'
'-x+1/2,y,z'
'-y,-x,-z'
'y,x,z'
'-x,y+1/2,-z'
'x,-y+1/2,z'
'y+1/2,x+1/2,-z'
'-y+1/2,-x+1/2,z'
loop_
_atom_site_label
_atom_site_fract_x
_atom_site_fract_y
_atom_site_fract_z
Ge1 0.250 0.250 0.106
P1 0.250 0.250 0.656
Os1 0.250 0.750 0.500
O1 0.250 0.750 0.000
```

Spin magnetization? In order: 0.0; 0.0 μB per cell.